[1]
Material: Mg3Rh2Au
Method: DFT, GGA-PBE
State: optimized geometry

Cell lengths 3.213, 3.213, 9.294 Å; angles 90.00, 90.00, 90.00 degrees
Fractional coordinates of all 6 atoms:
Mg: 0.000 0.000 0.000
Mg: 0.000 0.000 0.316
Mg: 0.000 0.000 0.684
Rh: 0.500 0.500 0.164
Rh: 0.500 0.500 0.836
Au: 0.500 0.500 0.500

Values from the calculation:
**Energy of formation**: -0.56 eV/atom
**Uncorrected energy**: -4.35 eV/atom

---

[2]
Material: BaLiMgPb3
Method: DFT, GGA-PBE
State: optimized geometry

Cell lengths 7.902, 7.902, 7.406 Å; angles 90.00, 90.00, 123.20 degrees
Fractional coordinates of all 12 atoms:
Ba: 0.218 0.782 0.750
Ba: 0.782 0.218 0.250
Li: 0.457 0.543 0.750
Li: 0.543 0.457 0.250
Mg: 0.128 0.872 0.250
Mg: 0.872 0.128 0.750
Pb: 0.224 0.224 0.000
Pb: 0.224 0.224 0.500
Pb: 0.341 0.659 0.250
Pb: 0.659 0.341 0.750
Pb: 0.776 0.776 0.000
Pb: 0.776 0.776 0.500

Values from the calculation:
**Energy of formation**: -0.17 eV/atom
**Uncorrected energy**: -2.93 eV/atom

---

[3]
Material: MnSb
Method: DFT, GGA-PBE
State: optimized geometry

Cell lengths 7.146, 7.146, 7.146 Å; angles 94.37, 94.37, 147.96 degrees
Fractional coordinates of all 8 atoms:
Mn: 0.086 0.816 0.902
Mn: 0.184 0.086 0.271
Mn: 0.816 0.914 0.729
Mn: 0.914 0.184 0.098
Sb: 0.242 0.586 0.828
Sb: 0.414 0.242 0.657
Sb: 0.586 0.758 0.343
Sb: 0.758 0.414 0.172

Values from the calculation:
**Formation energy without anion corrections**: 14.9 kJ per mole of atoms
**Uncorrected energy**: -6.49 eV/atom

---

[4]
Material: In2SiHg
Method: DFT, GGA-PBE
State: optimized geometry

Cell lengths 3.502, 3.502, 7.774 Å; angles 90.00, 90.00, 90.00 degrees
Fractional coordinates of all 4 atoms:
In: 0.000 0.000 0.000
In: 0.500 0.500 0.299
Si: 0.000 0.000 0.517
Hg: 0.500 0.500 0.729

Values from the calculation:
**Formation energy without anion corrections**: 29.3 kJ per mole of atoms
**Uncorrected energy**: -2.50 eV/atom